No. 1
Here is crystalline Si2OsAu at its relaxed geometry from Alexandria via LeMat-Bulk. Energies are from PBE.

Total moment: 0.00 Bohr magnetons per cell
Electronic total energy: -6.0353 eV per atom
Uncorrected formation energy: 0.303 eV/atom

Cell: 5.508 5.508 10.976 Å, 90.00 90.00 90.00°
Space group I-42d (No. 122)
One atom of each set of equivalent atoms:
Si  0.223  0.250  0.125 x8
Os  0.000  0.000  0.000 x4
Au  0.000  0.000  0.500 x4


No. 2
Here is crystalline Si2OsAu at its relaxed geometry from Alexandria via LeMat-Bulk. Energies are from PBE.

Total moment: 0.00 Bohr magnetons per cell
Electronic total energy: -6.3147 eV per atom
Uncorrected formation energy: 0.024 eV/atom

Cell: 3.114 4.448 4.313 Å, 90.00 90.00 90.00°
Space group Pmm2 (No. 25)
One atom of each set of equivalent atoms:
Si  0.000  0.000  0.000 x1
Si  0.500  0.500  0.207 x1
Os  0.500  0.000  0.435 x1
Au  0.000  0.500  0.725 x1


No. 3
Here is crystalline Si2OsAu at its relaxed geometry from Alexandria via LeMat-Bulk. Energies are from PBE.

Total moment: 0.00 Bohr magnetons per cell
Electronic total energy: -6.3949 eV per atom
Uncorrected formation energy: -0.057 eV/atom

Cell: 2.838 2.999 7.364 Å, 90.00 90.00 90.00°
Space group Pmmm (No. 47)
One atom of each set of equivalent atoms:
Si  0.000  0.000  0.203 x2
Os  0.500  0.500  0.000 x1
Au  0.500  0.000  0.500 x1


No. 4
Here is crystalline SiOsAu2 at its relaxed geometry from Alexandria via LeMat-Bulk. Energies are from PBE.

Total moment: 0.00 Bohr magnetons per cell
Electronic total energy: -5.3251 eV per atom
Uncorrected formation energy: 0.477 eV/atom

Cell: 5.249 7.987 3.102 Å, 90.00 90.00 90.00°
Space group Cmmm (No. 65)
One atom of each set of equivalent atoms:
Si  0.000  0.000  0.000 x2
Os  0.000  0.500  0.000 x2
Au  0.250  0.250  0.500 x4


Question: The highest uncorrected formation energy belongs to which entry?
Answer: SiOsAu2


Question: The highest electronic total energy belongs to which entry?
Answer: SiOsAu2


Question: Which value of uncorrected formation energy does entry 1 give?
Answer: 0.303 eV/atom